[1]
Crystalline Nd2MgZnS5 at its relaxed geometry, computed with GGA-PBE.

abc: 8.5665 8.5665 11.5346
angles: 90.00 90.00 153.63
Element x y z (fractional)
Nd 0.1143 0.8857 0.5000
Nd 0.1321 0.8679 0.1158
Nd 0.8679 0.1321 0.6158
Nd 0.8857 0.1143 0.0000
Mg 0.2050 0.7950 0.8248
Mg 0.7950 0.2050 0.3248
Zn 0.4445 0.5555 0.2709
Zn 0.5555 0.4445 0.7709
S 0.0491 0.9509 0.8759
S 0.2873 0.7127 0.4764
S 0.3124 0.6876 0.1685
S 0.3558 0.6442 0.8128
S 0.4971 0.5029 0.5903
S 0.5029 0.4971 0.0903
S 0.6442 0.3558 0.3128
S 0.6876 0.3124 0.6685
S 0.7127 0.2873 0.9764
S 0.9509 0.0491 0.3759

## Properties
Space group ... Cmc2_1 (36)
Final energy ... -5.286 eV per atom

---

[2]
Crystalline TaMn at its relaxed geometry, computed with GGA-PBE.

abc: 2.8356 2.8356 9.6868
angles: 90.00 90.00 120.00
Element x y z (fractional)
Ta 0.3333 0.6667 0.0000
Ta 0.6667 0.3333 0.5000
Mn 0.3333 0.6667 0.7331
Mn 0.6667 0.3333 0.2331

## Properties
Space group ... P6_3mc (186)
Formation enthalpy at 0 K ... 0.587 eV/atom

---

[3]
Crystalline Pm4Ho2ErSc at its relaxed geometry, computed with GGA-PBE.

abc: 5.0659 5.0659 9.8655
angles: 90.00 90.00 90.00
Element x y z (fractional)
Pm 0.0000 0.5000 0.2454
Pm 0.0000 0.5000 0.7546
Pm 0.5000 0.0000 0.2454
Pm 0.5000 0.0000 0.7546
Ho 0.0000 0.0000 0.0000
Ho 0.5000 0.5000 0.5000
Er 0.0000 0.0000 0.5000
Sc 0.5000 0.5000 0.0000

## Properties
Space group ... P4/mmm (123)
Formation enthalpy at 0 K ... 0.029 eV/atom

---

[4]
Crystalline K2ZnW at its relaxed geometry, computed with GGA-PBE.

abc: 7.3874 7.3874 7.3874
angles: 158.02 128.88 56.29
Element x y z (fractional)
K 0.0000 0.0000 0.0000
K 0.7001 0.2001 0.5000
Zn 0.2557 0.7557 0.5000
W 0.4245 0.4245 0.0000

## Properties
Space group ... Imm2 (44)
Formation enthalpy at 0 K ... 1.137 eV/atom

---

[5]
Crystalline SrSiHg2 at its relaxed geometry, computed with GGA-PBE.

abc: 5.7109 5.7109 5.7109
angles: 135.58 126.25 72.21
Element x y z (fractional)
Sr 0.0000 0.0000 0.0000
Si 0.5000 0.5000 0.0000
Hg 0.2806 0.7806 0.5000
Hg 0.7194 0.2194 0.5000

## Properties
Space group ... Immm (71)
Final energy ... -2.055 eV per atom

---

[6]
Crystalline In12Sn2Pb5 at its relaxed geometry, computed with GGA-PBE.

abc: 8.8270 8.8270 8.8510
angles: 97.67 97.67 54.54
Element x y z (fractional)
In 0.0525 0.0525 0.3470
In 0.0687 0.6762 0.3212
In 0.1471 0.5321 0.7720
In 0.3238 0.9313 0.6788
In 0.4207 0.4207 0.1269
In 0.4679 0.8529 0.2280
In 0.5321 0.1471 0.7720
In 0.5793 0.5793 0.8731
In 0.6762 0.0687 0.3212
In 0.8529 0.4679 0.2280
In 0.9313 0.3238 0.6788
In 0.9475 0.9475 0.6530
Sn 0.1859 0.8141 0.0000
Sn 0.8141 0.1859 0.0000
Pb 0.2104 0.2104 0.0043
Pb 0.2646 0.2646 0.4450
Pb 0.5000 0.5000 0.5000
Pb 0.7354 0.7354 0.5550
Pb 0.7896 0.7896 0.9957

## Properties
Space group ... C2/m (12)
Formation enthalpy at 0 K ... 0.069 eV/atom
Energy above the lowest structure with this stoichiometry ... 0.031 eV/atom

---

[7]
Crystalline Pu2Sc4P3H2 at its relaxed geometry, computed with GGA-PBE.

abc: 11.1487 11.1487 11.1487
angles: 158.26 158.26 30.93
Element x y z (fractional)
Pu 0.1991 0.1991 0.0000
Pu 0.8009 0.8009 0.0000
Sc 0.0790 0.5790 0.5000
Sc 0.4210 0.9210 0.5000
Sc 0.5790 0.0790 0.5000
Sc 0.9210 0.4210 0.5000
P 0.3346 0.3346 0.0000
P 0.5000 0.5000 0.0000
P 0.6654 0.6654 0.0000
H 0.0916 0.0916 0.0000
H 0.9084 0.9084 0.0000

## Properties
Space group ... I4/mmm (139)
Final energy ... -7.858 eV per atom

---

[8]
Crystalline La8Os3NCl3 at its relaxed geometry, computed with GGA-PBE.

abc: 8.1959 8.1959 8.9372
angles: 117.31 117.31 60.02
Element x y z (fractional)
La 0.2224 0.2224 0.6913
La 0.2229 0.7460 0.6916
La 0.2540 0.7771 0.3084
La 0.2617 0.2617 0.2856
La 0.7383 0.7383 0.7144
La 0.7460 0.2229 0.6916
La 0.7771 0.2540 0.3084
La 0.7776 0.7776 0.3087
Os 0.0000 0.5000 0.5000
Os 0.5000 0.0000 0.5000
Os 0.5000 0.5000 0.5000
N 0.0000 0.0000 0.5000
Cl 0.0000 0.0000 0.0000
Cl 0.0000 0.5000 0.0000
Cl 0.5000 0.0000 0.0000

## Properties
Space group ... C2/m (12)
Final energy ... -6.672 eV per atom

---

[9]
Crystalline Ba2HgSb2 at its relaxed geometry, computed with GGA-PBE.

abc: 10.2486 10.2486 10.2486
angles: 154.76 154.76 36.00
Element x y z (fractional)
Ba 0.1083 0.1083 0.0000
Ba 0.8917 0.8917 0.0000
Hg 0.5000 0.5000 0.0000
Sb 0.2500 0.7500 0.5000
Sb 0.7500 0.2500 0.5000

## Properties
Space group ... I4/mmm (139)
Final energy ... -3.008 eV per atom

---

[10]
Crystalline Sr2SnAu10 at its relaxed geometry, computed with GGA-PBE.

abc: 6.4291 5.8849 15.2013
angles: 90.00 91.23 90.00
Element x y z (fractional)
Sr 0.0981 0.1845 0.3423
Sr 0.0981 0.3155 0.8423
Sr 0.9019 0.6845 0.1577
Sr 0.9019 0.8155 0.6577
Sn 0.5000 0.0000 0.0000
Sn 0.5000 0.5000 0.5000
Au 0.0847 0.1772 0.0582
Au 0.0847 0.3228 0.5582
Au 0.2648 0.6844 0.3350
Au 0.2648 0.8156 0.8350
Au 0.2880 0.5886 0.0058
Au 0.2880 0.9114 0.5058
Au 0.3458 0.0754 0.6800
Au 0.3458 0.4246 0.1800
Au 0.3559 0.5816 0.6757
Au 0.3559 0.9184 0.1757
Au 0.6441 0.0816 0.8243
Au 0.6441 0.4184 0.3243
Au 0.6542 0.5754 0.8200
Au 0.6542 0.9246 0.3200
Au 0.7120 0.0886 0.4942
Au 0.7120 0.4114 0.9942
Au 0.7352 0.1844 0.1650
Au 0.7352 0.3156 0.6650
Au 0.9153 0.6772 0.4418
Au 0.9153 0.8228 0.9418

## Properties
Space group ... P2_1/c (14)
Formation enthalpy at 0 K ... -0.366 eV/atom

---

[11]
Crystalline SrTi2CBr at its relaxed geometry, computed with GGA-PBE.

abc: 4.6813 4.6813 5.8624
angles: 90.00 90.00 90.00
Element x y z (fractional)
Sr 0.0000 0.0000 0.0000
Ti 0.0000 0.5000 0.5000
Ti 0.5000 0.0000 0.5000
C 0.5000 0.5000 0.0000
Br 0.0000 0.0000 0.5000

## Properties
Space group ... P4/mmm (123)
Final energy ... -4.215 eV per atom

---

[12]
Crystalline P2AuNCl at its relaxed geometry, computed with GGA-PBE.

abc: 4.1459 4.1459 4.4478
angles: 90.00 90.00 90.00
Element x y z (fractional)
P 0.0000 0.5000 0.0000
P 0.5000 0.0000 0.0000
Au 0.0000 0.0000 0.5000
N 0.5000 0.5000 0.0000
Cl 0.5000 0.5000 0.5000

## Properties
Space group ... P4/mmm (123)
Energy above the lowest structure with this stoichiometry ... 0.000 eV/atom